Computed, not measured: a geometry-optimized RbPmMo2O8 structure at the GGA+U level of DFT.

Output
total moment: 0.000 Bohr magnetons per cell
DFT total energy: -7.12 eV/atom
calculated density: 3.5 g/cm³
space group: P-3m1
crystal system: trigonal

Structure (POSCAR):
```
RbPmMo2O8
1.0
-4.102 -3.227 3.227
3.263 -2.733 -4.420
5.678 -1.870 5.348
Rb Pm Mo O
1 1 2 8
direct
0.000 0.000 0.000
0.000 0.000 0.500
0.667 0.333 0.246
0.333 0.667 0.754
0.333 0.667 0.973
0.344 0.172 0.318
0.828 0.171 0.318
0.667 0.333 0.027
0.172 0.829 0.682
0.656 0.828 0.682
0.171 0.344 0.682
0.829 0.656 0.318
```